Compound: LiNpSn
Source: Alexandria via LeMat-Bulk
Functional: PBE
Structure: relaxed

a b c (Å): 3.917 3.917 8.469
angles (deg): 90.00 90.00 90.00
Fractional positions:
1 Np 0.000 0.000 0.000
2 Np 0.500 0.500 0.000
3 Sn 0.500 0.000 0.702
4 Sn 0.000 0.500 0.298
5 Li 0.000 0.500 0.638
6 Li 0.500 0.000 0.362

Values from the calculation:
- M_tot: 6.4 μB per cell
- Energy of formation from the pure elements: 0.08 eV/f.u.
- Raw total energy: -6.258 eV/atom
- N(E_F): 9.4 states/eV per cell